(one)
# VCu3O6

A relaxed VCu3O6 crystal (PBE with a Hubbard U, Alexandria).

Calculated values
The symmetry is R-3, No. 148. The crystal system is trigonal. The calculation puts the density of states at the Fermi level at 9.45 states/eV per cell.

Unit cell a=5.9074 b=5.9074 c=5.9074 alpha=95.57 beta=95.57 gamma=95.57
Fractional coordinates of all 20 atoms:
V 0.0000 0.0000 0.0000
V 0.5000 0.5000 0.5000
Cu 0.4092 0.9584 0.7318
Cu 0.9584 0.7318 0.4092
Cu 0.2682 0.5908 0.0416
Cu 0.7318 0.4092 0.9584
Cu 0.0416 0.2682 0.5908
Cu 0.5908 0.0416 0.2682
O 0.2916 0.9213 0.1247
O 0.0787 0.8753 0.7084
O 0.6463 0.7852 0.4339
O 0.8753 0.7084 0.0787
O 0.4339 0.6463 0.7852
O 0.2148 0.5661 0.3537
O 0.7852 0.4339 0.6463
O 0.5661 0.3537 0.2148
O 0.1247 0.2916 0.9213
O 0.3537 0.2148 0.5661
O 0.9213 0.1247 0.2916
O 0.7084 0.0787 0.8753

---

(two)
# VCu3O6

A relaxed VCu3O6 crystal (PBE with a Hubbard U, Alexandria).

Calculated values
The symmetry is Cmc2_1, No. 36. The crystal system is orthorhombic. The calculation puts the density of states at the Fermi level at 1.76 states/eV per cell.

Unit cell a=5.4108 b=7.3314 c=7.3314 alpha=113.76 beta=90.00 gamma=90.00
Last column: magnetic moment on the atom in μB.
Fractional coordinates of all 20 atoms:
V 0.9728 0.1977 0.8023  0.07
V 0.4728 0.8023 0.1977  0.07
Cu 0.4421 0.9272 0.7081  0.55
Cu 0.9421 0.7081 0.9272  0.55
Cu 0.5740 0.4923 0.5077  0.05
Cu 0.0740 0.5077 0.4923  0.05
Cu 0.9421 0.0728 0.2919  0.55
Cu 0.4421 0.2919 0.0728  0.55
O 0.3252 0.6652 0.6521  0.12
O 0.8252 0.6521 0.6652  0.12
O 0.0312 0.4462 0.8963  0.10
O 0.5312 0.8963 0.4462  0.10
O 0.1898 0.0846 0.9154  0.11
O 0.6518 0.1579 0.8421  0.13
O 0.1518 0.8421 0.1579  0.13
O 0.6898 0.9154 0.0846  0.11
O 0.0312 0.1037 0.5538  0.10
O 0.5312 0.5538 0.1037  0.10
O 0.3252 0.3479 0.3348  0.12
O 0.8252 0.3348 0.3479  0.12

---

Which structure above is the least stable one? (one) is the least stable one.